# 1
Dy2H7Rh2 | PBE | optimized geometry

abc: 4.8294 4.4373 4.8294
angles: 90.00 94.44 90.00
Atoms (fractional coordinates):
Dy: 0.7620 0.5000 0.7620
Dy: 0.2380 0.5000 0.2380
H: 0.0000 0.2020 0.5000
H: 0.5000 0.7980 0.0000
H: 0.0000 0.7980 0.5000
H: 0.5000 0.2020 0.0000
H: 0.0000 0.0000 0.0000
H: 0.5000 0.7865 0.5000
H: 0.5000 0.2135 0.5000
Rh: 0.7382 0.0000 0.2618
Rh: 0.2618 0.0000 0.7382

Summary:
electronic total energy	-4.69	eV per atom
total magnetization	0.0	μB/f.u.
N(E_F)	0.419	states/eV per atom

---

# 2
Dy3H12Rh5 | PBE | optimized geometry

abc: 10.0114 10.0114 10.0114
angles: 109.47 109.47 109.47
Atoms (fractional coordinates):
Dy: 0.7500 0.3750 0.1250
Dy: 0.8750 0.7500 0.1250
Dy: 0.3750 0.7500 0.6250
Dy: 0.2500 0.1250 0.3750
Dy: 0.8750 0.1250 0.2500
Dy: 0.3750 0.6250 0.2500
Dy: 0.6250 0.3750 0.7500
Dy: 0.1250 0.8750 0.7500
Dy: 0.7500 0.8750 0.6250
Dy: 0.6250 0.2500 0.3750
Dy: 0.1250 0.2500 0.8750
Dy: 0.2500 0.6250 0.8750
Rh: 0.1250 0.3750 0.2500
Rh: 0.0000 0.5000 0.0000
Rh: 0.0000 0.0000 0.0000
Rh: 0.3750 0.2500 0.1250
Rh: 0.5000 0.0000 0.5000
Rh: 0.5000 0.5000 0.0000
Rh: 0.1250 0.7500 0.3750
Rh: 0.7500 0.1250 0.8750
Rh: 0.7500 0.6250 0.3750
Rh: 0.3750 0.1250 0.7500
Rh: 0.6250 0.8750 0.2500
Rh: 0.5000 0.5000 0.5000
Rh: 0.5000 0.0000 0.0000
Rh: 0.0000 0.0000 0.5000
Rh: 0.2500 0.3750 0.6250
Rh: 0.2500 0.8750 0.1250
Rh: 0.0000 0.5000 0.5000
Rh: 0.8750 0.2500 0.6250
Rh: 0.6250 0.7500 0.8750
Rh: 0.8750 0.6250 0.7500
H: 0.6935 0.1060 0.0200
H: 0.3265 0.5200 0.4140
H: 0.9800 0.3940 0.3065
H: 0.5200 0.1935 0.1060
H: 0.5875 0.6935 0.6735
H: 0.9800 0.5860 0.1735
H: 0.3265 0.8065 0.4125
H: 0.0860 0.9125 0.1060
H: 0.5860 0.9800 0.6735
H: 0.6935 0.5875 0.1735
H: 0.8065 0.4800 0.3940
H: 0.8265 0.9140 0.0200
H: 0.1060 0.6935 0.5200
H: 0.3940 0.4140 0.0875
H: 0.0875 0.9140 0.3940
H: 0.4125 0.1060 0.5860
H: 0.0875 0.1735 0.1935
H: 0.4800 0.6735 0.0860
H: 0.8265 0.9125 0.3065
H: 0.1060 0.4125 0.0860
H: 0.3940 0.9800 0.8065
H: 0.5860 0.6060 0.4125
H: 0.9140 0.8265 0.5200
H: 0.8065 0.3265 0.9125
H: 0.4140 0.3940 0.5875
H: 0.0860 0.1735 0.4800
H: 0.1935 0.6735 0.0875
H: 0.1735 0.0875 0.6935
H: 0.6060 0.0200 0.1935
H: 0.8940 0.5875 0.9140
H: 0.5200 0.3265 0.9140
H: 0.5875 0.8940 0.4140
H: 0.9125 0.8265 0.8065
H: 0.9125 0.0860 0.6060
H: 0.8940 0.3065 0.4800
H: 0.1735 0.0860 0.9800
H: 0.6060 0.5860 0.9125
H: 0.4140 0.0200 0.3265
H: 0.3065 0.4125 0.8265
H: 0.1935 0.5200 0.6060
H: 0.9140 0.0875 0.8940
H: 0.6735 0.1935 0.5875
H: 0.4800 0.8065 0.8940
H: 0.0200 0.4140 0.8265
H: 0.4125 0.3065 0.3265
H: 0.0200 0.6060 0.6935
H: 0.6735 0.4800 0.5860
H: 0.3065 0.8940 0.9800

Summary:
electronic total energy	-4.92	eV per atom
total magnetization	0.0	μB/f.u.
N(E_F)	0.221	states/eV per atom

---

# 3
DyH8Rh2 | PBE | optimized geometry

abc: 4.3757 4.3757 4.7427
angles: 90.00 90.00 90.00
Atoms (fractional coordinates):
Dy: 0.5000 0.5000 0.5000
H: 0.7815 0.7815 0.1962
H: 0.7815 0.2185 0.8038
H: 0.7815 0.7815 0.8038
H: 0.7815 0.2185 0.1962
H: 0.2185 0.7815 0.1962
H: 0.2185 0.7815 0.8038
H: 0.2185 0.2185 0.1962
H: 0.2185 0.2185 0.8038
Rh: 0.5000 0.0000 0.0000
Rh: 0.0000 0.5000 0.0000

Summary:
total magnetization	0.0	μB/f.u.
N(E_F)	0.459	states/eV per atom
ΔE to the lowest computed polymorph	0.48	eV per formula unit

---

# 4
Dy2H8Rh3 | PBE | optimized geometry

abc: 4.9841 5.6715 5.5481
angles: 120.74 108.43 90.00
Atoms (fractional coordinates):
Dy: 0.3070 0.3036 0.6072
Dy: 0.6930 0.6964 0.3928
H: 0.0868 0.6279 0.2558
H: 0.9132 0.3721 0.7442
H: 0.8794 0.1038 0.2076
H: 0.1206 0.8962 0.7924
H: 0.6206 0.6911 0.7874
H: 0.6206 0.0963 0.7874
H: 0.3794 0.9037 0.2126
H: 0.3794 0.3089 0.2126
Rh: 0.5000 0.0000 0.0000
Rh: 0.0000 0.2550 0.0000
Rh: 0.0000 0.7450 0.0000

Summary:
electronic total energy	-4.88	eV per atom
total magnetization	0.0	μB/f.u.
N(E_F)	0.204	states/eV per atom

---

# 5
DyHRh2 | PBE | optimized geometry

abc: 2.9838 2.9838 7.6550
angles: 78.76 78.76 60.00
Atoms (fractional coordinates):
H: 0.5000 0.5000 0.5000
Rh: 0.1156 0.1156 0.6533
Rh: 0.8844 0.8844 0.3467
Dy: 0.0000 0.0000 0.0000

Summary:
electronic total energy	-5.41	eV per atom
total magnetization	0.0	μB/f.u.
N(E_F)	1.267	states/eV per atom

---

# 6
DyH4Rh2 | PBE | optimized geometry

abc: 5.7971 5.7973 5.7936
angles: 120.07 120.07 89.89
Atoms (fractional coordinates):
Dy: 0.2494 0.7494 0.4996
Dy: 0.9995 0.9994 0.9996
H: 0.8623 0.1556 0.3290
H: 0.4241 0.5957 0.2078
H: 0.8259 0.5335 0.6713
H: 0.8457 0.1741 0.7078
H: 0.4656 0.1376 0.2920
H: 0.3876 0.2156 0.7920
H: 0.4056 0.6123 0.8290
H: 0.7835 0.5759 0.1713
Rh: 0.5875 0.3746 0.7125
Rh: 0.6635 0.8752 0.2878
Rh: 0.6246 0.3375 0.2125
Rh: 0.1252 0.4135 0.7878

Summary:
electronic total energy	-5.01	eV per atom
total magnetization	0.0	μB/f.u.
N(E_F)	0.406	states/eV per atom

---

# 7
DyH8Rh6 | PBE | optimized geometry

abc: 5.1964 5.1964 5.1964
angles: 99.63 99.63 99.63
Atoms (fractional coordinates):
Dy: 0.0000 0.0000 0.0000
H: 0.6821 0.6821 0.6821
H: 0.3179 0.3179 0.3179
H: 0.6263 0.7963 0.1757
H: 0.7963 0.1757 0.6263
H: 0.1757 0.6263 0.7963
H: 0.3737 0.2037 0.8243
H: 0.2037 0.8243 0.3737
H: 0.8243 0.3737 0.2037
Rh: 0.7028 0.4168 0.8655
Rh: 0.4168 0.8655 0.7028
Rh: 0.8655 0.7028 0.4168
Rh: 0.2972 0.5832 0.1345
Rh: 0.5832 0.1345 0.2972
Rh: 0.1345 0.2972 0.5832

Summary:
electronic total energy	-5.22	eV per atom
total magnetization	0.0	μB/f.u.
N(E_F)	0.651	states/eV per atom

---

# 8
DySiHRh | PBE | optimized geometry

abc: 4.0122 4.0122 7.2412
angles: 90.00 90.00 90.00
Atoms (fractional coordinates):
Dy: 0.0000 0.5000 0.8462
Dy: 0.5000 0.0000 0.1538
Si: 0.5000 0.0000 0.6814
Si: 0.0000 0.5000 0.3186
H: 0.5000 0.5000 0.0000
H: 0.0000 0.0000 0.0000
Rh: 0.0000 0.0000 0.5000
Rh: 0.5000 0.5000 0.5000

Summary:
electronic total energy	-6.12	eV per atom
total magnetization	0.0	μB/f.u.
N(E_F)	0.349	states/eV per atom

---

# 9
Dy2SiHRh6 | PBE | optimized geometry

abc: 6.0197 6.0193 6.0132
angles: 59.93 59.93 89.95
Atoms (fractional coordinates):
Dy: 0.7503 0.2498 0.5000
Dy: 0.2497 0.7502 0.5000
Si: 0.0000 0.0000 0.0000
H: 0.5000 0.5000 0.0000
Rh: 0.2678 0.2678 0.4648
Rh: 0.7326 0.7326 0.0004
Rh: 0.2674 0.7326 0.0000
Rh: 0.7326 0.2674 0.0000
Rh: 0.2674 0.2674 0.9996
Rh: 0.7322 0.7322 0.5352

Summary:
electronic total energy	-6.92	eV per atom
total magnetization	0.0	μB/f.u.
N(E_F)	0.813	states/eV per atom

---

# 10
DySiHRh2 | PBE | optimized geometry

abc: 3.6879 5.6889 7.1790
angles: 90.00 90.00 108.91
Atoms (fractional coordinates):
Dy: 0.4477 0.8954 0.7500
Dy: 0.5523 0.1046 0.2500
Si: 0.7268 0.4536 0.7500
Si: 0.2732 0.5464 0.2500
H: 0.0000 0.0000 0.0000
H: 0.0000 0.0000 0.5000
Rh: 0.1564 0.3128 0.9468
Rh: 0.8436 0.6872 0.0532
Rh: 0.1564 0.3128 0.5532
Rh: 0.8436 0.6872 0.4468

Summary:
electronic total energy	-6.49	eV per atom
total magnetization	0.0	μB/f.u.
N(E_F)	0.541	states/eV per atom

---

# 11
Dy2SnHRh6 | PBE | optimized geometry

abc: 6.2467 6.2470 6.4837
angles: 58.61 58.66 89.75
Atoms (fractional coordinates):
Dy: 0.7424 0.2575 0.5001
Dy: 0.2576 0.7425 0.4999
Sn: 0.0000 0.0000 0.0000
H: 0.5000 0.5000 0.0000
Rh: 0.2719 0.2717 0.4356
Rh: 0.7285 0.7284 0.9798
Rh: 0.2832 0.7170 0.9998
Rh: 0.7168 0.2830 0.0002
Rh: 0.2715 0.2716 0.0202
Rh: 0.7281 0.7283 0.5644

Summary:
electronic total energy	-6.48	eV per atom
total magnetization	0.0	μB/f.u.
N(E_F)	0.872	states/eV per atom

---

# 12
SrDyH8Rh2 | PBE | optimized geometry

abc: 5.0248 5.0248 6.6494
angles: 67.80 67.80 60.00
Atoms (fractional coordinates):
Sr: 0.5000 0.5000 0.5000
Dy: 0.0000 0.0000 0.0000
H: 0.1973 0.1973 0.4080
H: 0.5625 0.3699 0.1627
H: 0.8027 0.8027 0.5920
H: 0.9049 0.5625 0.1627
H: 0.0951 0.4375 0.8373
H: 0.3699 0.9049 0.1627
H: 0.6301 0.0951 0.8373
H: 0.4375 0.6301 0.8373
Rh: 0.2877 0.2877 0.1369
Rh: 0.7123 0.7123 0.8631

Summary:
electronic total energy	-4.26	eV per atom
total magnetization	0.0	μB/f.u.
N(E_F)	0.333	states/eV per atom

---

# 13
DyZnH8Rh4 | PBE | optimized geometry

abc: 5.7310 5.7310 5.5316
angles: 58.80 58.80 60.00
Atoms (fractional coordinates):
Dy: 0.3884 0.3884 0.8348
Zn: 0.9944 0.9944 0.0168
H: 0.2348 0.8509 0.6796
H: 0.8509 0.2348 0.6796
H: 0.2348 0.2348 0.6796
H: 0.2264 0.2264 0.3207
H: 0.6908 0.2706 0.3478
H: 0.2706 0.6908 0.3478
H: 0.6908 0.6908 0.3478
H: 0.7675 0.7675 0.6976
Rh: 0.6331 0.6331 0.1008
Rh: 0.0044 0.5088 0.4824
Rh: 0.5088 0.0044 0.4824
Rh: 0.0044 0.0044 0.4824

Summary:
electronic total energy	-4.64	eV per atom
total magnetization	0.0	μB/f.u.
N(E_F)	0.242	states/eV per atom

---

# 14
DyH6Ru2 | PBE | optimized geometry

abc: 3.5802 4.8847 5.6549
angles: 73.72 71.55 68.50
Atoms (fractional coordinates):
Dy: 0.0000 0.5000 0.5000
H: 0.7196 0.6644 0.8965
H: 0.2804 0.3356 0.1035
H: 0.9658 0.8732 0.1952
H: 0.3379 0.7382 0.5861
H: 0.0342 0.1268 0.8048
H: 0.6621 0.2618 0.4139
Ru: 0.1800 0.7419 0.8980
Ru: 0.8200 0.2581 0.1020

Summary:
total magnetization	0.0	μB/f.u.
N(E_F)	0.350	states/eV per atom
ΔE to the lowest computed polymorph	0.41	eV per formula unit

---

# 15
Dy2H8Ru | PBE | optimized geometry

abc: 3.5717 4.2096 6.8498
angles: 107.92 105.11 90.00
Atoms (fractional coordinates):
Dy: 0.8535 0.3527 0.7069
Dy: 0.1465 0.6473 0.2931
H: 0.3885 0.6555 0.7770
H: 0.6129 0.8858 0.2258
H: 0.7617 0.7609 0.5233
H: 0.0000 0.1972 0.0001
H: 0.2383 0.2391 0.4767
H: 0.3871 0.1142 0.7742
H: 0.6115 0.3445 0.2230
H: 0.0000 0.8028 0.9999
Ru: 0.5000 0.0000 0.0000

Summary:
electronic total energy	-4.51	eV per atom
total magnetization	0.0	μB/f.u.
N(E_F)	0.117	states/eV per atom

---

# 16
Dy2H7Ru2 | PBE | optimized geometry

abc: 4.4871 4.7631 4.7631
angles: 83.84 89.98 89.98
Atoms (fractional coordinates):
Dy: 0.5000 0.2382 0.7618
Dy: 0.5000 0.7618 0.2382
H: 0.2076 0.0000 0.5002
H: 0.7924 0.4998 0.0000
H: 0.7924 0.0000 0.4998
H: 0.2076 0.5002 0.0000
H: 0.0000 0.0000 0.0000
H: 0.8045 0.5001 0.5001
H: 0.1955 0.4999 0.4999
Ru: 0.0008 0.2612 0.2612
Ru: 0.9992 0.7388 0.7388

Summary:
electronic total energy	-4.96	eV per atom
total magnetization	0.0	μB/f.u.
N(E_F)	0.384	states/eV per atom

---

# 17
DyH6Ru2 | PBE | optimized geometry

abc: 4.1741 4.1741 4.9598
angles: 104.76 104.76 93.34
Atoms (fractional coordinates):
Dy: 0.5000 0.0000 0.0000
H: 0.0096 0.1194 0.7244
H: 0.3806 0.4904 0.2756
H: 0.9904 0.8806 0.2756
H: 0.6194 0.5096 0.7244
H: 0.0828 0.5828 0.7004
H: 0.9172 0.4172 0.2996
Ru: 0.2478 0.2522 0.5000
Ru: 0.7522 0.7478 0.5000

Summary:
total magnetization	0.0	μB/f.u.
N(E_F)	0.435	states/eV per atom
ΔE to the lowest computed polymorph	0.00	eV per formula unit

---

# 18
DyH7Ru2 | PBE | optimized geometry

abc: 3.5505 5.0266 5.0266
angles: 112.75 90.00 90.00
Atoms (fractional coordinates):
Dy: 0.0000 0.0000 0.0000
H: 0.0000 0.7070 0.2930
H: 0.0000 0.2930 0.7070
H: 0.5000 0.0679 0.3295
H: 0.5000 0.9321 0.6705
H: 0.5000 0.3295 0.0679
H: 0.5000 0.6705 0.9321
H: 0.5000 0.5000 0.5000
Ru: 0.5000 0.7040 0.2960
Ru: 0.5000 0.2960 0.7040

Summary:
electronic total energy	-4.85	eV per atom
total magnetization	0.0	μB/f.u.
N(E_F)	0.463	states/eV per atom

---

# 19
DyH2Ru | PBE | optimized geometry

abc: 3.6542 3.6542 4.8528
angles: 67.88 67.88 60.00
Site moments in Bohr magnetons follow the coordinates.
Atoms (fractional coordinates):
Ru: 0.0000 0.0000 0.0000  0.23
H: 0.1289 0.1289 0.6133  0.00
H: 0.8711 0.8711 0.3867  0.00
Dy: 0.5000 0.5000 0.5000  -0.02

Summary:
electronic total energy	-5.40	eV per atom
total magnetization	0.2	μB/f.u.
N(E_F)	0.386	states/eV per atom